Computed, not measured: a relaxed structure of PaBrO at the PBE level of DFT.

- formation energy (no corrections) (kJ/mol of atoms) = -211.5
- Fermi-level density of states (states/eV/f.u.) = 1.18
- volume (Å³ per cell) = 61.8

Structure (POSCAR):
```
PaBrO
1.0
-2.2971 -0.6133 4.2472
-1.7715 -3.0903 -1.4043
3.3743 -0.3675 1.7719
Pa O Br
1 1 1
Direct
0.1651 0.0000 0.0000
0.1679 0.3333 0.6667
0.6670 0.6667 0.3333
```